Record 1
# Tb5Sm2Ga4 | Alexandria via LeMat-Bulk | GGA-PBE | optimized geometry
# final energy = -4.102 eV per atom
# spin magnetization = 0.000 μB per formula unit
# D(E_F) = 0.997 states/eV per atom
data_Tb5Sm2Ga4
_chemical_formula_sum 'Tb10 Sm4 Ga8'
_space_group_name_H-M_alt 'I m m m'
_space_group_IT_number 71
_space_group_name_Hall '-I 2 2'
_cell_length_a 3.415
_cell_length_b 9.996
_cell_length_c 17.912
_cell_angle_alpha 90.00
_cell_angle_beta 90.00
_cell_angle_gamma 90.00
loop_
_atom_site_label
_atom_site_fract_x
_atom_site_fract_y
_atom_site_fract_z
Tb1 0.000 0.000 0.000
Tb2 0.000 0.168 0.325
Sm1 0.000 0.500 0.325
Ga1 0.000 0.225 0.500
Ga2 0.000 0.500 0.069


Record 2
# KTl2AsI6 | Alexandria via LeMat-Bulk | GGA-PBE | optimized geometry
# uncorrected formation energy = -0.595 eV per atom
# spin magnetization = 0.000 μB per formula unit
# D(E_F) = 0.000 states/eV per atom
data_KTl2AsI6
_chemical_formula_sum 'K3 Tl6 As3 I18'
_space_group_name_H-M_alt 'R 3'
_space_group_IT_number 146
_space_group_name_Hall 'R 3'
_cell_length_a 8.5824
_cell_length_b 8.5824
_cell_length_c 21.6434
_cell_angle_alpha 90.00
_cell_angle_beta 90.00
_cell_angle_gamma 120.00
loop_
_atom_site_label
_atom_site_fract_x
_atom_site_fract_y
_atom_site_fract_z
K1 0.0000 0.0000 0.0000
Tl1 0.0000 0.0000 0.2889
Tl2 0.0000 0.0000 0.8018
As1 0.0000 0.0000 0.4909
I1 0.0366 0.2956 0.5670
I2 0.0723 0.6863 0.0775


Record 3
# CaHI | Alexandria via LeMat-Bulk | GGA-PBE | optimized geometry
# final energy = -2.970 eV per atom
# spin magnetization = 0.000 μB per formula unit
# D(E_F) = 0.000 states/eV per atom
data_CaHI
_chemical_formula_sum 'Ca2 H2 I2'
_space_group_name_H-M_alt 'I 4 m m'
_space_group_IT_number 107
_space_group_name_Hall 'I 4 -2'
_cell_length_a 3.675
_cell_length_b 3.675
_cell_length_c 10.737
_cell_angle_alpha 90.00
_cell_angle_beta 90.00
_cell_angle_gamma 90.00
loop_
_atom_site_label
_atom_site_fract_x
_atom_site_fract_y
_atom_site_fract_z
Ca1 0.000 0.000 0.000
H1 0.000 0.000 0.563
I1 0.000 0.000 0.296


Record 4
# LiTm | Alexandria via LeMat-Bulk | GGA-PBE | optimized geometry
# spin magnetization = 0.000 μB per formula unit
# D(E_F) = 0.746 states/eV per atom
# offset from the most stable computed form = 0 meV per atom
data_LiTm
_chemical_formula_sum 'Li2 Tm2'
_space_group_name_H-M_alt 'P 4/n m m'
_space_group_IT_number 129
_cell_length_a 3.622
_cell_length_b 3.622
_cell_length_c 7.583
_cell_angle_alpha 90.00
_cell_angle_beta 90.00
_cell_angle_gamma 90.00
loop_
_space_group_symop_operation_xyz
'x,y,z'
'-x,-y,-z'
'-y+1/2,x,z'
'y+1/2,-x,-z'
'-x+1/2,-y+1/2,z'
'x+1/2,y+1/2,-z'
'y,-x+1/2,z'
'-y,x+1/2,-z'
'x+1/2,-y,-z'
'-x+1/2,y,z'
'-y,-x,-z'
'y,x,z'
'-x,y+1/2,-z'
'x,-y+1/2,z'
'y+1/2,x+1/2,-z'
'-y+1/2,-x+1/2,z'
loop_
_atom_site_label
_atom_site_fract_x
_atom_site_fract_y
_atom_site_fract_z
Li1 0.250 0.250 0.087
Tm1 0.250 0.250 0.646


Record 5
# Bi2H3Rh2 | Alexandria via LeMat-Bulk | GGA-PBE | optimized geometry
# final energy = -4.622 eV per atom
# spin magnetization = 0.000 μB per formula unit
# D(E_F) = 0.267 states/eV per atom
data_Bi2H3Rh2
_chemical_formula_sum 'Bi2 H3 Rh2'
_space_group_name_H-M_alt 'P -1'
_space_group_IT_number 2
_cell_length_a 3.130
_cell_length_b 4.514
_cell_length_c 7.382
_cell_angle_alpha 88.56
_cell_angle_beta 88.70
_cell_angle_gamma 87.23
loop_
_space_group_symop_operation_xyz
'x,y,z'
'-x,-y,-z'
loop_
_atom_site_label
_atom_site_fract_x
_atom_site_fract_y
_atom_site_fract_z
Bi1 0.184 0.245 0.190
H1 0.311 0.285 0.693
H2 0.500 0.000 0.500
Rh1 0.195 0.739 0.411


Record 6
# Tb5Pr2ErTh | Alexandria via LeMat-Bulk | GGA-PBE | optimized geometry
# final energy = -4.800 eV per atom
# spin magnetization = 0.000 μB per formula unit
# D(E_F) = 1.534 states/eV per atom
data_Tb5Pr2ErTh
_chemical_formula_sum 'Tb20 Pr8 Er4 Th4'
_space_group_name_H-M_alt 'C m c 21'
_space_group_IT_number 36
_cell_length_a 5.645
_cell_length_b 20.016
_cell_length_c 10.778
_cell_angle_alpha 90.00
_cell_angle_beta 90.00
_cell_angle_gamma 90.00
loop_
_space_group_symop_operation_xyz
'x,y,z'
'-x,-y,z+1/2'
'-x,y,z'
'x,-y,z+1/2'
'x+1/2,y+1/2,z'
'-x+1/2,-y+1/2,z+1/2'
'-x+1/2,y+1/2,z'
'x+1/2,-y+1/2,z+1/2'
loop_
_atom_site_label
_atom_site_fract_x
_atom_site_fract_y
_atom_site_fract_z
Tb1 0.000 0.016 0.000
Tb2 0.000 0.279 0.291
Tb3 0.000 0.299 0.683
Tb4 0.000 0.390 0.997
Tb5 0.000 0.480 0.713
Pr1 0.000 0.115 0.293
Pr2 0.000 0.116 0.709
Er1 0.000 0.200 0.985
Th1 0.000 0.415 0.431


Q: Which formula does entry 1 have?
A: Tb5Sm2Ga4